First-principles (PBEsol) data for Tl2MoAu after structural relaxation, as listed in Alexandria.

Cell and atoms, written as POSCAR:
```
Tl2MoAu
1.0
3.081 0.000 0.000
-1.541 2.668 0.000
0.000 0.000 28.553
Tl Mo Au
6 3 3
direct
0.000 0.000 0.249
0.000 0.000 0.751
0.333 0.667 0.418
0.333 0.667 0.915
0.667 0.333 0.085
0.667 0.333 0.582
0.000 0.000 0.500
0.333 0.667 0.167
0.667 0.333 0.833
0.000 0.000 0.000
0.333 0.667 0.667
0.667 0.333 0.333
```

Output
E above lowest polymorph = 54 meV per atom
energy of formation = 558 meV per atom